Entry from Alexandria via LeMat-Bulk: crystalline AcGdAlZn at its relaxed geometry (PBE).

Formation enthalpy at 0 K in meV per atom: -265
Crystal system: cubic

Geometry as extended XYZ:
```
4
Lattice="0.0000 3.7983 3.7983 3.7983 0.0000 3.7983 3.7983 3.7983 0.0000" Properties=species:S:1:pos:R:3 pbc="T T T"
Ac 0.0000 0.0000 0.0000
Gd 3.7983 3.7983 3.7983
Al 5.6975 5.6975 5.6975
Zn 1.8992 1.8992 1.8992
```

Entry from Alexandria via LeMat-Bulk: crystalline Mg17Cd11Ag at its relaxed geometry (PBE).

Formation enthalpy at 0 K in meV per atom: -73
Crystal system: monoclinic

Geometry as extended XYZ:
```
29
Lattice="5.7455 -7.4640 0.0000 5.7455 7.4640 0.0000 -5.6882 0.0000 7.4448" Properties=species:S:1:pos:R:3 pbc="T T T"
Mg 0.0000 0.0000 0.0000
Mg -3.5939 0.0000 4.8600
Mg -1.9735 4.4326 7.2041
Mg 0.5657 2.3300 1.8894
Mg -1.4470 2.4765 4.8451
Mg 3.7545 3.0246 2.5183
Mg 1.6623 2.1238 4.8548
Mg 0.5657 -2.3300 1.8894
Mg -1.4470 -2.4765 4.8451
Mg 2.6212 0.0000 2.7195
Mg 6.3032 2.3728 0.4313
Mg -1.9735 -4.4326 7.2041
Mg 1.6623 -2.1238 4.8548
Mg 5.7680 0.0000 2.3028
Mg 3.7545 -3.0246 2.5183
Mg 2.6809 0.0000 7.0446
Mg 6.3032 -2.3728 0.4313
Cd 1.0685 4.7509 3.3919
Cd 3.3668 6.0191 2.1610
Cd 1.0704 4.7553 6.3177
Cd 3.2862 1.4567 0.1385
Cd 3.2862 -1.4567 0.1385
Cd -0.1521 0.0000 6.2503
Cd 4.5375 1.4322 4.8645
Cd 1.0685 -4.7509 3.3919
Cd 4.5375 -1.4322 4.8645
Cd 1.0704 -4.7553 6.3177
Cd 3.3668 -6.0191 2.1610
Ag -0.1123 0.0000 3.4160
```

Entry from Alexandria via LeMat-Bulk: crystalline Ho5NpRu6 at its relaxed geometry (PBE).

Formation enthalpy at 0 K in meV per atom: -370
Crystal system: orthorhombic

Geometry as extended XYZ:
```
12
Lattice="-2.4117 3.3975 7.0834 2.4117 -3.3975 7.0834 2.4117 3.3975 -7.0834" Properties=species:S:1:pos:R:3 pbc="T T T"
Ho 0.0000 0.0000 0.0000
Ho 2.4117 0.0000 2.3200
Ho 0.0000 0.0000 4.6219
Ho 0.0000 0.0000 9.5448
Ho 0.0000 3.3975 4.7634
Np 0.0000 3.3975 0.0000
Ru 2.4117 -1.5770 4.8844
Ru 2.4117 1.8468 0.0000
Ru 0.0000 1.8205 2.1989
Ru 2.4117 1.5770 4.8844
Ru 0.0000 1.5507 7.0834
Ru 0.0000 4.9745 2.1989
```

Entry from Alexandria via LeMat-Bulk: crystalline K2TcRu at its relaxed geometry (PBE).

Formation enthalpy at 0 K in meV per atom: 1330
Crystal system: monoclinic

Geometry as extended XYZ:
```
4
Lattice="2.7095 0.0000 0.0000 0.0000 5.8059 0.0000 -1.0176 0.0000 5.1744" Properties=species:S:1:pos:R:3 pbc="T T T"
K 0.3585 0.0000 1.3095
K 1.3335 0.0000 3.8649
Tc 1.3548 2.9029 0.0000
Ru -0.5088 2.9029 2.5872
```

Entry from Alexandria via LeMat-Bulk: crystalline MoAuSe2N at its relaxed geometry (PBE).

Formation energy from raw total energies in meV per atom: 387
Crystal system: tetragonal

Geometry as extended XYZ:
```
5
Lattice="5.0710 0.0000 0.0000 0.0000 5.0710 0.0000 0.0000 0.0000 3.7870" Properties=species:S:1:pos:R:3 pbc="T T T"
Mo 0.0000 0.0000 0.0000
Au 2.5355 2.5355 1.8935
Se 0.0000 2.5355 0.0000
Se 2.5355 0.0000 0.0000
N 0.0000 0.0000 1.8935
```

Entry from Alexandria via LeMat-Bulk: crystalline V4CrNi at its relaxed geometry (PBE).

Formation enthalpy at 0 K in meV per atom: 502
Crystal system: monoclinic

Geometry as extended XYZ:
```
6
Lattice="3.8555 -1.8642 0.0000 3.8555 1.8642 0.0000 -1.7792 0.0000 6.0567" Properties=species:S:1:pos:R:3 pbc="T T T"
V 0.3489 0.0000 2.3698
V 2.5461 0.0000 0.7729
V 3.3858 0.0000 5.2837
V 5.5830 0.0000 3.6869
Cr 2.9659 0.0000 3.0283
Ni 0.0000 0.0000 0.0000
```

Entry from Alexandria via LeMat-Bulk: crystalline TaAgP2S at its relaxed geometry (PBE).

Formation energy from raw total energies in meV per atom: 295
Crystal system: tetragonal

Geometry as extended XYZ:
```
5
Lattice="4.8661 0.0000 0.0000 0.0000 4.8661 0.0000 0.0000 0.0000 4.7301" Properties=species:S:1:pos:R:3 pbc="T T T"
Ta 0.0000 0.0000 0.0000
Ag 2.4330 2.4330 2.3650
P 0.0000 2.4330 0.0000
P 2.4330 0.0000 0.0000
S 0.0000 0.0000 2.3650
```

Entry from Alexandria via LeMat-Bulk: crystalline Pb5Br3 at its relaxed geometry (PBE).

Formation energy from raw total energies in meV per atom: -138
Crystal system: hexagonal

Geometry as extended XYZ:
```
16
Lattice="9.6753 0.0000 0.0000 -4.8376 8.3790 0.0000 0.0000 0.0000 6.4961" Properties=species:S:1:pos:R:3 pbc="T T T"
Pb -0.9374 1.6235 1.6240
Pb -3.9003 6.7555 4.8720
Pb 1.8747 0.0000 1.6240
Pb 0.9374 1.6235 4.8720
Pb 0.0000 5.5860 0.0000
Pb 0.0000 5.5860 3.2480
Pb 4.8376 2.7930 0.0000
Pb 4.8376 2.7930 3.2480
Pb 7.8006 0.0000 4.8720
Pb 3.9003 6.7555 1.6240
Br -1.9376 3.3561 4.8720
Br -2.9000 5.0229 1.6240
Br 3.8753 0.0000 4.8720
Br 1.9376 3.3561 1.6240
Br 5.8000 0.0000 1.6240
Br 2.9000 5.0229 4.8720
```

| no. | DOS at the Fermi energy (states/eV/cell) |
| --- | --- |
| 1 | 3.89 |
| 2 | 8.29 |
| 3 | 9.32 |
| 4 | 4.17 |
| 5 | 5.21 |
| 6 | 7.04 |
| 7 | 4.29 |
| 8 | 7.45 |